Entry 1:
DFT (PBE) results for a relaxed structure of Ac7Ni2Os2.

Cell lengths 9.664, 9.664, 9.664 Å; angles 153.93, 67.62, 118.85 degrees
Positions (direct):
Ac 0.000 0.000 0.000
Ac 0.278 0.386 0.892
Ac 0.299 0.608 0.691
Ac 0.494 0.386 0.108
Ac 0.596 0.216 0.379
Ac 0.837 0.216 0.621
Ac 0.917 0.608 0.309
Ni 0.191 0.934 0.257
Ni 0.677 0.934 0.743
Os 0.205 0.705 0.500
Os 0.652 0.652 0.000

Properties
Its electronic total energy is -5.74 eV/atom. The value obtained for the formation energy is -39 kJ/mol of formula units. For the spin magnetization, the calculation gives 0.0 Bohr magnetons per cell.

---

Entry 2:
DFT (PBE) results for a relaxed structure of Ac3NiOs.

Cell lengths 7.658, 7.658, 9.991 Å; angles 102.40, 102.40, 34.67 degrees
Positions (direct):
Ac 0.036 0.036 0.289
Ac 0.321 0.321 0.385
Ac 0.357 0.357 0.002
Ac 0.643 0.643 0.998
Ac 0.679 0.679 0.615
Ac 0.964 0.964 0.711
Ni 0.320 0.320 0.692
Ni 0.680 0.680 0.308
Os 0.169 0.169 0.801
Os 0.831 0.831 0.199

Properties
Its electronic total energy is -5.93 eV/atom. The value obtained for the formation energy is -33 kJ/mol of formula units. For the spin magnetization, the calculation gives 0.0 Bohr magnetons per cell.

---

Entry 3:
DFT (PBE) results for a relaxed structure of Ac3Ni2Os.

Cell lengths 12.346, 4.242, 12.453 Å; angles 90.00, 90.00, 90.00 degrees
Positions (direct):
Ac 0.067 0.250 0.122
Ac 0.118 0.750 0.557
Ac 0.202 0.250 0.807
Ac 0.298 0.750 0.307
Ac 0.382 0.250 0.057
Ac 0.433 0.750 0.622
Ac 0.567 0.250 0.378
Ac 0.618 0.750 0.943
Ac 0.702 0.250 0.693
Ac 0.798 0.750 0.193
Ac 0.882 0.250 0.443
Ac 0.933 0.750 0.878
Ni 0.041 0.750 0.315
Ni 0.198 0.750 0.982
Ni 0.302 0.250 0.482
Ni 0.459 0.250 0.815
Ni 0.541 0.750 0.185
Ni 0.698 0.750 0.518
Ni 0.802 0.250 0.018
Ni 0.959 0.250 0.685
Os 0.125 0.250 0.367
Os 0.375 0.750 0.867
Os 0.625 0.250 0.133
Os 0.875 0.750 0.633

Properties
Its electronic total energy is -5.96 eV/atom. The value obtained for the formation energy is -60 kJ/mol of formula units. For the spin magnetization, the calculation gives 0.0 Bohr magnetons per cell.

---

Entry 4:
DFT (PBE) results for a relaxed structure of Ac6Ni2Os.

Cell lengths 7.454, 6.958, 14.658 Å; angles 90.00, 120.55, 90.00 degrees
Positions (direct):
Ac 0.006 0.243 0.336
Ac 0.006 0.257 0.836
Ac 0.334 0.728 0.000
Ac 0.334 0.772 0.500
Ac 0.335 0.241 0.664
Ac 0.335 0.259 0.164
Ac 0.665 0.741 0.836
Ac 0.665 0.759 0.336
Ac 0.666 0.228 0.500
Ac 0.666 0.272 0.000
Ac 0.994 0.743 0.164
Ac 0.994 0.757 0.664
Ni 0.324 0.001 0.324
Ni 0.324 0.499 0.824
Ni 0.676 0.501 0.176
Ni 0.676 0.999 0.676
Os 0.000 0.000 0.500
Os 0.000 0.500 0.000

Properties
Its electronic total energy is -5.41 eV/atom. The value obtained for the formation energy is -117 kJ/mol of formula units. For the spin magnetization, the calculation gives 0.0 Bohr magnetons per cell.

---

Entry 5:
DFT (PBE) results for a relaxed structure of AcNiOs.

Cell lengths 6.083, 5.122, 8.993 Å; angles 90.00, 110.58, 90.00 degrees
Positions (direct):
Ac 0.155 0.174 0.397
Ac 0.155 0.326 0.897
Ac 0.845 0.674 0.103
Ac 0.845 0.826 0.603
Ni 0.333 0.661 0.496
Ni 0.333 0.839 0.996
Ni 0.667 0.161 0.004
Ni 0.667 0.339 0.504
Os 0.445 0.624 0.259
Os 0.445 0.876 0.759
Os 0.555 0.124 0.241
Os 0.555 0.376 0.741

Properties
Its electronic total energy is -6.95 eV/atom. The value obtained for the formation energy is 27 kJ/mol of formula units. For the spin magnetization, the calculation gives 0.0 Bohr magnetons per cell.

---

Entry 6:
DFT (PBE) results for a relaxed structure of Ac6Ni3Os.

Cell lengths 7.225, 7.905, 13.087 Å; angles 90.00, 121.95, 90.00 degrees
Positions (direct):
Ac 0.089 0.062 0.247
Ac 0.089 0.438 0.747
Ac 0.257 0.683 0.082
Ac 0.257 0.817 0.582
Ac 0.400 0.180 0.075
Ac 0.400 0.320 0.575
Ac 0.600 0.680 0.425
Ac 0.600 0.820 0.925
Ac 0.743 0.183 0.418
Ac 0.743 0.317 0.918
Ac 0.911 0.562 0.253
Ac 0.911 0.938 0.753
Ni 0.310 0.106 0.759
Ni 0.310 0.394 0.259
Ni 0.500 0.000 0.500
Ni 0.500 0.500 0.000
Ni 0.690 0.606 0.741
Ni 0.690 0.894 0.241
Os 0.000 0.000 0.000
Os 0.000 0.500 0.500

Properties
Its electronic total energy is -5.44 eV/atom. The value obtained for the formation energy is -118 kJ/mol of formula units. For the spin magnetization, the calculation gives 0.0 Bohr magnetons per cell.

---

Entry 7:
DFT (PBE) results for a relaxed structure of Ac4Ni2Os.

Cell lengths 7.045, 4.327, 7.709 Å; angles 90.00, 105.87, 90.00 degrees
Positions (direct):
Ac 0.080 0.000 0.266
Ac 0.404 0.500 0.744
Ac 0.596 0.500 0.256
Ac 0.920 0.000 0.734
Ni 0.336 0.000 0.005
Ni 0.664 0.000 0.995
Os 0.000 0.500 0.500

Properties
Its electronic total energy is -5.69 eV/atom. The value obtained for the formation energy is -57 kJ/mol of formula units. For the spin magnetization, the calculation gives 0.0 Bohr magnetons per cell.

---

Entry 8:
DFT (PBE) results for a relaxed structure of Ac8Ni3Os.

Cell lengths 8.413, 8.413, 8.402 Å; angles 117.71, 117.71, 62.23 degrees
Positions (direct):
Ac 0.242 0.749 0.757
Ac 0.243 0.243 0.251
Ac 0.251 0.758 0.243
Ac 0.259 0.259 0.742
Ac 0.741 0.741 0.258
Ac 0.749 0.242 0.757
Ac 0.757 0.757 0.749
Ac 0.758 0.251 0.243
Ni 0.000 0.500 0.500
Ni 0.500 0.000 0.500
Ni 0.500 0.500 0.000
Os 0.000 0.000 0.000

Properties
Its electronic total energy is -5.27 eV/atom. The value obtained for the formation energy is -172 kJ/mol of formula units. For the spin magnetization, the calculation gives 0.0 Bohr magnetons per cell.

---

Entry 9:
DFT (PBE) results for a relaxed structure of AcNiP2Os.

Cell lengths 6.685, 6.685, 6.685 Å; angles 146.37, 146.37, 48.30 degrees
Positions (direct):
Ac 0.000 0.000 0.000
Ni 0.750 0.250 0.500
P 0.356 0.356 0.000
P 0.644 0.644 0.000
Os 0.250 0.750 0.500

Properties
Its electronic total energy is -7.18 eV/atom. The value obtained for the formation energy is -383 kJ/mol of formula units. For the spin magnetization, the calculation gives 0.0 Bohr magnetons per cell.

---

Entry 10:
DFT (PBE) results for a relaxed structure of AcPrNiOs.

Cell lengths 5.109, 5.109, 5.109 Å; angles 60.00, 60.00, 60.00 degrees
Positions (direct):
Ac 0.000 0.000 0.000
Pr 0.500 0.500 0.500
Ni 0.750 0.750 0.750
Os 0.250 0.250 0.250

Properties
Its electronic total energy is -6.42 eV/atom. The value obtained for the formation energy is 19 kJ/mol of formula units. For the spin magnetization, the calculation gives 0.0 Bohr magnetons per cell.

---

Entry 11:
DFT (PBE) results for a relaxed structure of AcPuNiOs.

Cell lengths 5.000, 5.000, 5.000 Å; angles 60.00, 60.00, 60.00 degrees
Positions (direct):
Ac 0.000 0.000 0.000
Pu 0.500 0.500 0.500
Ni 0.750 0.750 0.750
Os 0.250 0.250 0.250

Properties
Its electronic total energy is -8.71 eV/atom. The value obtained for the formation energy is 59 kJ/mol of formula units. For the spin magnetization, the calculation gives 4.7 Bohr magnetons per cell.

---

Entry 12:
DFT (PBE) results for a relaxed structure of Ac2Si4Ni3Os.

Cell lengths 4.145, 4.145, 10.242 Å; angles 90.00, 90.00, 90.00 degrees
Positions (direct):
Ac 0.000 0.500 0.241
Ac 0.500 0.000 0.759
Si 0.000 0.000 0.000
Si 0.000 0.500 0.621
Si 0.500 0.000 0.379
Si 0.500 0.500 0.000
Ni 0.000 0.500 0.883
Ni 0.500 0.000 0.117
Ni 0.500 0.500 0.500
Os 0.000 0.000 0.500

Properties
Its electronic total energy is -6.50 eV/atom. For the spin magnetization, the calculation gives 0.0 Bohr magnetons per cell. Its formation energy from raw total energies is -0.6526 eV/atom.